{
  "formula": "Pr2AgHg",
  "functional": "PBE",
  "state": "optimized geometry",
  "formation_energy_ev_per_atom": -0.361,
  "sg": "Fm-3m, No. 225",
  "lattice": [[5.409, 0.000, 0.000], [2.704, 4.684, 0.000], [2.704, 1.561, 4.416]],
  "species": ["Pr", "Pr", "Hg", "Ag"],
  "fractional_positions": [[0.250, 0.250, 0.250], [0.750, 0.750, 0.750], [0.000, 0.000, 0.000], [0.500, 0.500, 0.500]]
}